Record 1
Below is a relaxed structure of CaDyHo4, with properties calculated at the PBE level.

The structure belongs to space group F-43m (No. 216); the cell edges are 9.350, 9.350 and 9.350 Å and the angles 90.00°, 90.00° and 90.00°. The inequivalent atoms are Ca at (0.000, 0.000, 0.000), Dy at (0.250, 0.250, 0.750) and Ho at (0.124, 0.124, 0.376).

The value obtained for the total energy is -94.4 eV per cell.

=====

Record 2
Below is a relaxed structure of Pm3InSn4, with properties calculated at the PBE level.

The structure belongs to space group Pmn2_1 (No. 31); the cell edges are 10.416, 6.604 and 6.458 Å and the angles 90.00°, 90.00° and 90.00°. The inequivalent atoms are Pm at (0.000, 0.077, 0.000), Pm at (0.222, 0.678, 0.247), In at (0.000, 0.411, 0.480), Sn at (0.000, 0.554, 0.935), Sn at (0.000, 0.958, 0.499) and Sn at (0.234, 0.818, 0.752).

The value obtained for the total energy is -75.3 eV per cell.

=====

Record 3
Below is a relaxed structure of Ho2Ag2Pb, with properties calculated at the PBE level.

The structure belongs to space group Fmmm (No. 69); the cell edges are 5.348, 5.360 and 17.791 Å and the angles 90.00°, 90.00° and 90.00°. The inequivalent atoms are Ho at (0.000, 0.000, 0.187), Ag at (0.000, 0.000, 0.396) and Pb at (0.000, 0.000, 0.000).

The value obtained for the total energy is -77.3 eV per cell.

=====

Record 4
Below is a relaxed structure of ErPaCuRe, with properties calculated at the PBE level.

The structure belongs to space group F-43m (No. 216); the cell edges are 6.878, 6.878 and 6.878 Å and the angles 90.00°, 90.00° and 90.00°. The inequivalent atoms are Er at (0.000, 0.000, 0.000), Pa at (0.000, 0.000, 0.500), Cu at (0.250, 0.250, 0.750) and Re at (0.250, 0.250, 0.250).

The value obtained for the total energy is -122.5 eV per cell.

=====

Record 5
Below is a relaxed structure of LiMg6Fe, with properties calculated at the PBE level.

The structure belongs to space group Amm2 (No. 38); the cell edges are 4.684, 7.083 and 9.533 Å and the angles 90.00°, 90.00° and 90.00°. The inequivalent atoms are Li at (0.000, 0.000, 0.000), Mg at (0.000, 0.000, 0.487), Mg at (0.000, 0.221, 0.743), Mg at (0.500, 0.000, 0.239), Mg at (0.500, 0.229, 0.977) and Fe at (0.500, 0.000, 0.713).

The calculation puts the distance to the lowest polymorph of the same formula at 0 meV/atom.

=====

Record 6
Below is a relaxed structure of Tl3F5, with properties calculated at the PBE level.

The structure belongs to space group Pnma (No. 62); the cell edges are 11.363, 7.514 and 6.968 Å and the angles 90.00°, 90.00° and 90.00°. The inequivalent atoms are Tl at (0.001, 0.250, 0.057), Tl at (0.171, 0.001, 0.526), F at (0.018, 0.250, 0.377), F at (0.073, 0.538, 0.148), F at (0.161, 0.250, 0.884) and F at (0.185, 0.750, 0.849).

The value obtained for the uncorrected formation energy is -1.8523 eV per atom.

=====

Please write out number 5 again, unchanged.
Below is a relaxed structure of LiMg6Fe, with properties calculated at the PBE level.

The structure belongs to space group Amm2 (No. 38); the cell edges are 4.684, 7.083 and 9.533 Å and the angles 90.00°, 90.00° and 90.00°. The inequivalent atoms are Li at (0.000, 0.000, 0.000), Mg at (0.000, 0.000, 0.487), Mg at (0.000, 0.221, 0.743), Mg at (0.500, 0.000, 0.239), Mg at (0.500, 0.229, 0.977) and Fe at (0.500, 0.000, 0.713).

The calculation puts the distance to the lowest polymorph of the same formula at 0 meV/atom.